No. 1
This record from the Alexandria database describes CdCu2B2O6 after structural relaxation. The functional is GGA-PBE.

Calculated values
mass density = 4.603 g cm⁻³
uncorrected formation energy = -16.28 eV/f.u.

abc: 3.565 15.240 9.528
angles: 90.00 95.58 90.00
Space group P2_1/c (No. 14)
Unique sites:
1 Cd 0.212 0.131 0.384 (multiplicity 4)
2 Cu 0.320 0.540 0.366 (multiplicity 4)
3 Cu 0.321 0.747 0.867 (multiplicity 4)
4 B 0.104 0.589 0.817 (multiplicity 4)
5 B 0.216 0.153 0.916 (multiplicity 4)
6 O 0.005 0.157 0.782 (multiplicity 4)
7 O 0.034 0.504 0.790 (multiplicity 4)
8 O 0.270 0.230 0.987 (multiplicity 4)
9 O 0.280 0.625 0.939 (multiplicity 4)
10 O 0.320 0.649 0.265 (multiplicity 4)
11 O 0.350 0.074 0.965 (multiplicity 4)

***

No. 2
This record from the Alexandria database describes Cd2HgIr2 after structural relaxation. The functional is GGA-PBE.

Calculated values
mass density = 13.780 g cm⁻³
formation enthalpy at 0 K = 221 meV per atom

abc: 6.893 6.893 4.108
angles: 90.00 90.00 90.00
Space group P4/mbm (No. 127)
Unique sites:
1 Cd 0.168 0.332 0.000 (multiplicity 4)
2 Hg 0.000 0.000 0.500 (multiplicity 2)
3 Ir 0.129 0.629 0.500 (multiplicity 4)

***

No. 3
This record from the Alexandria database describes Tb2DyHo4Tm2 after structural relaxation. The functional is GGA-PBE.

Calculated values
mass density = 8.823 g cm⁻³
formation enthalpy at 0 K = 4 meV per atom

abc: 18.451 3.553 9.424
angles: 90.00 115.78 90.00
Space group C2/m (No. 12)
Unique sites:
1 Tb 0.148 0.000 0.167 (multiplicity 4)
2 Dy 0.000 0.000 0.500 (multiplicity 2)
3 Ho 0.019 0.500 0.833 (multiplicity 4)
4 Ho 0.185 0.000 0.834 (multiplicity 4)
5 Tm 0.167 0.500 0.501 (multiplicity 4)

***

No. 4
This record from the Alexandria database describes CrGaHPd2 after structural relaxation. The functional is GGA-PBE.

Calculated values
mass density = 8.876 g cm⁻³
VASP energy = -5.499 eV/atom

abc: 3.998 3.998 3.928
angles: 90.00 90.00 90.00
Space group P4/mmm (No. 123)
Unique sites:
1 Cr 0.000 0.000 0.000 (multiplicity 1)
2 Ga 0.500 0.500 0.000 (multiplicity 1)
3 H 0.000 0.000 0.500 (multiplicity 1)
4 Pd 0.000 0.500 0.500 (multiplicity 2)

***

M_tot in μB per atom, matching the order above: 0.182, 0.000, 0.000, 0.805